Record 1
# ZrPaNiN3, relaxed, DFT PBE-GGA
# ρ	9.14	g/cm³
# crystal system	monoclinic
# total magnetic moment	0.0	μB per cell
# uncorrected formation energy	-1.143	eV/atom
data_ZrPaNiN3
_chemical_formula_sum 'Zr2 Pa2 Ni2 N6'
_space_group_name_H-M_alt 'P 1 21/m 1'
_space_group_IT_number 11
_cell_length_a 6.8869
_cell_length_b 3.2688
_cell_length_c 6.9776
_cell_angle_alpha 90.00
_cell_angle_beta 101.87
_cell_angle_gamma 90.00
loop_
_space_group_symop_operation_xyz
'x,y,z'
'-x,-y,-z'
'-x,y+1/2,-z'
'x,-y+1/2,z'
loop_
_atom_site_label
_atom_site_type_symbol
_atom_site_fract_x
_atom_site_fract_y
_atom_site_fract_z
Zr1 Zr 0.1573 0.2500 0.1711
Pa1 Pa 0.3233 0.7500 0.7853
Ni1 Ni 0.3878 0.7500 0.4054
N1 N 0.0832 0.2500 0.8450
N2 N 0.2959 0.2500 0.5187
N3 N 0.3874 0.7500 0.1227

Record 2
# NiPbN2, relaxed, DFT PBE-GGA
# ρ	9.17	g/cm³
# crystal system	trigonal
# total magnetic moment	0.0	μB per cell
# uncorrected formation energy	0.842	eV/atom
data_NiPbN2
_chemical_formula_sum 'Ni3 Pb3 N6'
_space_group_name_H-M_alt 'R -3 m'
_space_group_IT_number 166
_space_group_name_Hall '-R 3 2"'
_cell_length_a 3.1090
_cell_length_b 3.1090
_cell_length_c 19.0736
_cell_angle_alpha 90.00
_cell_angle_beta 90.00
_cell_angle_gamma 120.00
loop_
_atom_site_label
_atom_site_type_symbol
_atom_site_fract_x
_atom_site_fract_y
_atom_site_fract_z
Ni1 Ni 0.0000 0.0000 0.0000
Pb1 Pb 0.0000 0.0000 0.5000
N1 N 0.0000 0.0000 0.3769

Record 3
# NiPbN2, relaxed, DFT PBE-GGA
# ρ	8.45	g/cm³
# crystal system	tetragonal
# total magnetic moment	0.0	μB per cell
# uncorrected formation energy	0.673	eV/atom
data_NiPbN2
_chemical_formula_sum 'Ni4 Pb4 N8'
_space_group_name_H-M_alt 'I -4 2 d'
_space_group_IT_number 122
_space_group_name_Hall 'I -4 2bw'
_cell_length_a 4.9391
_cell_length_b 4.9391
_cell_length_c 9.4745
_cell_angle_alpha 90.00
_cell_angle_beta 90.00
_cell_angle_gamma 90.00
loop_
_atom_site_label
_atom_site_type_symbol
_atom_site_fract_x
_atom_site_fract_y
_atom_site_fract_z
Ni1 Ni 0.0000 0.0000 0.0000
Pb1 Pb 0.0000 0.0000 0.5000
N1 N 0.1593 0.2500 0.1250

Record 4
# NiPb2N, relaxed, DFT PBE-GGA
# ρ	9.24	g/cm³
# crystal system	tetragonal
# total magnetic moment	0.0	μB per cell
# uncorrected formation energy	0.650	eV/atom
data_NiPb2N
_chemical_formula_sum 'Ni4 Pb8 N4'
_space_group_name_H-M_alt 'I -4 2 d'
_space_group_IT_number 122
_space_group_name_Hall 'I -4 2bw'
_cell_length_a 6.0131
_cell_length_b 6.0131
_cell_length_c 9.6810
_cell_angle_alpha 90.00
_cell_angle_beta 90.00
_cell_angle_gamma 90.00
loop_
_atom_site_label
_atom_site_type_symbol
_atom_site_fract_x
_atom_site_fract_y
_atom_site_fract_z
Ni1 Ni 0.0000 0.0000 0.0000
Pb1 Pb 0.2169 0.2500 0.6250
N1 N 0.0000 0.0000 0.5000